Computed, not measured: AcBiMo2O8 after structural relaxation at the GGA+U level of DFT.

The total magnetization is 2.0 μB per formula unit. Its total energy is -7.04 eV per atom.

The structure belongs to space group I-4m2 (No. 119); the cell edges are 7.676, 7.676 and 6.898 Å and the angles 90.00°, 90.00° and 90.00°. Symmetry generates all atoms from Ac at (0.000, 0.000, 0.000), Bi at (0.000, 0.500, 0.750), Mo at (0.000, 0.000, 0.500), Mo at (0.000, 0.500, 0.250), O at (0.000, 0.189, 0.670) and O at (0.000, 0.322, 0.065).